VASP calculation (PBEsol) on a geometry-optimized CoTc2Mo structure.

Results
* space-group type: No. 123
* calculated formation energy: 0.093 eV/f.u.
* DOS at the Fermi energy: 3.50 states/eV per cell
* polymorph energy (0 for the lowest one): 0.0000 eV/atom

a = 3.745 Å, b = 3.745 Å, c = 3.775 Å
α = 90.00°, β = 90.00°, γ = 90.00°
Positions (direct):
Mo: 0.000 0.000 0.500
Co: 0.500 0.500 0.500
Tc: 0.000 0.500 0.000
Tc: 0.500 0.000 0.000



VASP calculation (PBEsol) on a geometry-optimized CoTc2Mo structure.

Results
* space-group type: No. 47
* calculated formation energy: 0.597 eV/f.u.
* DOS at the Fermi energy: 4.69 states/eV per cell
* polymorph energy (0 for the lowest one): 0.1262 eV/atom

a = 2.677 Å, b = 3.667 Å, c = 5.469 Å
α = 90.00°, β = 90.00°, γ = 90.00°
Positions (direct):
Mo: 0.500 0.500 0.500
Co: 0.500 0.500 0.000
Tc: 0.000 0.000 0.775
Tc: 0.000 0.000 0.225



VASP calculation (PBEsol) on a geometry-optimized CoTeMo structure.

Results
* space-group type: No. 59
* ΔE_f (raw): 0.409 eV per atom
* DOS at the Fermi energy: 6.95 states/eV per cell
* polymorph energy (0 for the lowest one): 0.0000 eV/atom

a = 3.721 Å, b = 4.781 Å, c = 5.827 Å
α = 90.00°, β = 90.00°, γ = 90.00°
Positions (direct):
Co: 0.000 0.500 0.250
Co: 0.500 0.000 0.750
Te: 0.500 0.500 0.952
Te: 0.000 0.000 0.048
Mo: 0.500 0.500 0.502
Mo: 0.000 0.000 0.498



VASP calculation (PBEsol) on a geometry-optimized Co2TeMo structure.

Results
* space-group type: No. 8
* ΔE_f (raw): 0.289 eV per atom
* DOS at the Fermi energy: 2.76 states/eV per cell

a = 3.128 Å, b = 4.432 Å, c = 4.464 Å
α = 100.10°, β = 90.00°, γ = 110.67°
Positions (direct):
Mo: 0.517 0.034 0.567
Te: 0.744 0.488 0.208
Co: 0.989 0.978 0.974
Co: 0.250 0.500 0.751



VASP calculation (PBEsol) on a geometry-optimized Co2TeMo structure.

Results
* space-group type: No. 44
* ΔE_f (raw): 0.303 eV per atom
* DOS at the Fermi energy: 4.55 states/eV per cell

a = 3.518 Å, b = 3.926 Å, c = 4.760 Å
α = 114.35°, β = 111.69°, γ = 90.00°
Positions (direct):
Mo: 0.509 0.509 0.018
Te: 0.261 0.761 0.523
Co: 0.992 0.992 0.985
Co: 0.738 0.238 0.475



VASP calculation (PBEsol) on a geometry-optimized CoTe2Mo structure.

Results
* space-group type: No. 225
* ΔE_f (raw): 0.394 eV per atom
* DOS at the Fermi energy: 4.66 states/eV per cell

a = 4.629 Å, b = 4.629 Å, c = 4.629 Å
α = 60.00°, β = 60.00°, γ = 60.00°
Positions (direct):
Mo: 0.000 0.000 0.000
Te: 0.250 0.250 0.250
Te: 0.750 0.750 0.750
Co: 0.500 0.500 0.500



VASP calculation (PBEsol) on a geometry-optimized CoTeMo structure.

Results
* space-group type: No. 216
* ΔE_f (raw): 0.414 eV per atom
* DOS at the Fermi energy: 4.86 states/eV per cell
* polymorph energy (0 for the lowest one): 0.0055 eV/atom

a = 4.131 Å, b = 4.131 Å, c = 4.131 Å
α = 60.00°, β = 60.00°, γ = 60.00°
Positions (direct):
Mo: 0.000 0.000 0.000
Te: 0.500 0.500 0.500
Co: 0.250 0.250 0.250



VASP calculation (PBEsol) on a geometry-optimized Co2TeMo2 structure.

Results
* space-group type: No. 139
* ΔE_f (raw): 0.455 eV per atom
* DOS at the Fermi energy: 5.40 states/eV per cell

a = 3.783 Å, b = 3.783 Å, c = 6.018 Å
α = 108.32°, β = 108.32°, γ = 90.00°
Positions (direct):
Mo: 0.250 0.750 0.500
Mo: 0.750 0.250 0.500
Te: 0.000 0.000 0.000
Co: 0.604 0.604 0.208
Co: 0.396 0.396 0.792



VASP calculation (PBEsol) on a geometry-optimized Ti3CoMo structure.

Results
* space-group type: No. 221
* calculated formation energy: 2.626 eV/f.u.
* DOS at the Fermi energy: 7.01 states/eV per cell

a = 4.360 Å, b = 4.360 Å, c = 4.360 Å
α = 90.00°, β = 90.00°, γ = 90.00°
Positions (direct):
Mo: 0.500 0.500 0.500
Co: 0.000 0.000 0.000
Ti: 0.000 0.500 0.000
Ti: 0.000 0.000 0.500
Ti: 0.500 0.000 0.000



VASP calculation (PBEsol) on a geometry-optimized YTiCo2Mo structure.

Results
* space-group type: No. 123
* calculated formation energy: 3.281 eV/f.u.
* DOS at the Fermi energy: 6.39 states/eV per cell

a = 4.465 Å, b = 4.508 Å, c = 4.508 Å
α = 90.00°, β = 90.00°, γ = 90.00°
Positions (direct):
Y: 0.500 0.500 0.500
Mo: 0.000 0.000 0.000
Co: 0.000 0.000 0.500
Co: 0.000 0.500 0.000
Ti: 0.500 0.000 0.000



VASP calculation (PBEsol) on a geometry-optimized TlCoMo2 structure.

Results
* space-group type: No. 35
* calculated formation energy: 1.798 eV/f.u.
* DOS at the Fermi energy: 3.22 states/eV per cell
* polymorph energy (0 for the lowest one): 0.0000 eV/atom

a = 2.799 Å, b = 2.799 Å, c = 8.162 Å
α = 90.00°, β = 90.00°, γ = 102.73°
Positions (direct):
Tl: 0.000 0.000 0.478
Co: 0.500 0.500 0.227
Mo: 0.000 0.000 0.025
Mo: 0.500 0.500 0.770



VASP calculation (PBEsol) on a geometry-optimized TlCoMo structure.

Results
* space-group type: No. 156
* calculated formation energy: 2.010 eV/f.u.
* DOS at the Fermi energy: 2.37 states/eV per cell

a = 2.788 Å, b = 4.374 Å, c = 4.374 Å
α = 120.00°, β = 90.00°, γ = 90.00°
Positions (direct):
Tl: 0.168 0.333 0.667
Co: 0.164 0.000 0.000
Mo: 0.668 0.667 0.333



VASP calculation (PBEsol) on a geometry-optimized TlCo2Mo2 structure.

Results
* space-group type: No. 139
* calculated formation energy: 3.170 eV/f.u.
* DOS at the Fermi energy: 5.92 states/eV per cell

a = 3.697 Å, b = 3.697 Å, c = 6.228 Å
α = 107.27°, β = 107.27°, γ = 90.00°
Positions (direct):
Co: 0.250 0.750 0.500
Co: 0.750 0.250 0.500
Mo: 0.615 0.615 0.231
Mo: 0.385 0.385 0.769
Tl: 0.000 0.000 0.000



VASP calculation (PBEsol) on a geometry-optimized TlCo2Mo structure.

Results
* space-group type: No. 123
* calculated formation energy: 1.344 eV/f.u.
* DOS at the Fermi energy: 3.61 states/eV per cell
* polymorph energy (0 for the lowest one): 0.0000 eV/atom

a = 2.800 Å, b = 2.800 Å, c = 7.144 Å
α = 90.00°, β = 90.00°, γ = 90.00°
Positions (direct):
Tl: 0.500 0.500 0.500
Co: 0.000 0.000 0.773
Co: 0.000 0.000 0.227
Mo: 0.500 0.500 0.000



VASP calculation (PBEsol) on a geometry-optimized TlCoMo2 structure.

Results
* space-group type: No. 123
* calculated formation energy: 2.009 eV/f.u.
* DOS at the Fermi energy: 4.51 states/eV per cell
* polymorph energy (0 for the lowest one): 0.0527 eV/atom

a = 3.758 Å, b = 3.758 Å, c = 4.318 Å
α = 90.00°, β = 90.00°, γ = 90.00°
Positions (direct):
Tl: 0.500 0.500 0.500
Co: 0.000 0.000 0.500
Mo: 0.000 0.500 0.000
Mo: 0.500 0.000 0.000



VASP calculation (PBEsol) on a geometry-optimized TlCo2Mo structure.

Results
* space-group type: No. 119
* calculated formation energy: 2.137 eV/f.u.
* DOS at the Fermi energy: 4.43 states/eV per cell
* polymorph energy (0 for the lowest one): 0.1981 eV/atom

a = 3.670 Å, b = 3.670 Å, c = 4.866 Å
α = 112.16°, β = 112.16°, γ = 90.00°
Positions (direct):
Tl: 0.250 0.750 0.500
Co: 0.000 0.000 0.000
Co: 0.750 0.250 0.500
Mo: 0.500 0.500 0.000



VASP calculation (PBEsol) on a geometry-optimized V2Co9Mo structure.

Results
* space-group type: No. 160
* calculated formation energy: -2.127 eV/f.u.
* DOS at the Fermi energy: 9.44 states/eV per cell

a = 4.949 Å, b = 4.949 Å, c = 6.644 Å
α = 68.13°, β = 68.13°, γ = 60.00°
Positions (direct):
V: 0.218 0.218 0.346
V: 0.001 0.001 0.998
Co: 0.719 0.719 0.329
Co: 0.719 0.234 0.329
Co: 0.234 0.719 0.329
Co: 0.282 0.282 0.668
Co: 0.282 0.768 0.668
Co: 0.768 0.282 0.668
Co: 0.498 0.002 0.002
Co: 0.002 0.498 0.002
Co: 0.498 0.498 0.002
Mo: 0.781 0.781 0.658



VASP calculation (PBEsol) on a geometry-optimized Co2MoW structure.

Results
* space-group type: No. 65
* calculated formation energy: 0.018 eV/f.u.
* DOS at the Fermi energy: 1.78 states/eV per cell
* polymorph energy (0 for the lowest one): 0.0000 eV/atom

a = 2.620 Å, b = 4.501 Å, c = 4.501 Å
α = 108.42°, β = 90.00°, γ = 90.00°
Positions (direct):
Mo: 0.500 0.500 0.500
Co: 0.000 0.000 0.500
Co: 0.000 0.500 0.000
W: 0.500 0.000 0.000



VASP calculation (PBEsol) on a geometry-optimized Co2MoW structure.

Results
* space-group type: No. 139
* calculated formation energy: 0.021 eV/f.u.
* DOS at the Fermi energy: 2.37 states/eV per cell
* polymorph energy (0 for the lowest one): 0.0008 eV/atom

a = 3.710 Å, b = 3.710 Å, c = 4.499 Å
α = 114.35°, β = 114.35°, γ = 90.00°
Positions (direct):
Mo: 0.000 0.000 0.000
Co: 0.750 0.250 0.500
Co: 0.250 0.750 0.500
W: 0.500 0.500 0.000



VASP calculation (PBEsol) on a geometry-optimized Co2MoW structure.

Results
* space-group type: No. 123
* calculated formation energy: 0.021 eV/f.u.
* DOS at the Fermi energy: 2.41 states/eV per cell
* polymorph energy (0 for the lowest one): 0.0008 eV/atom

a = 3.653 Å, b = 3.711 Å, c = 3.711 Å
α = 90.00°, β = 90.00°, γ = 90.00°
Positions (direct):
Mo: 0.500 0.500 0.500
Co: 0.000 0.000 0.500
Co: 0.000 0.500 0.000
W: 0.500 0.000 0.000



VASP calculation (PBEsol) on a geometry-optimized Co2MoW structure.

Results
* space-group type: No. 225
* calculated formation energy: 1.229 eV/f.u.
* DOS at the Fermi energy: 7.26 states/eV per cell
* polymorph energy (0 for the lowest one): 0.3028 eV/atom

a = 4.186 Å, b = 4.186 Å, c = 4.186 Å
α = 60.00°, β = 60.00°, γ = 60.00°
Positions (direct):
Mo: 0.000 0.000 0.000
Co: 0.250 0.250 0.250
Co: 0.750 0.750 0.750
W: 0.500 0.500 0.500



VASP calculation (PBEsol) on a geometry-optimized Co2MoW structure.

Results
* space-group type: No. 47
* calculated formation energy: 0.030 eV/f.u.
* DOS at the Fermi energy: 2.04 states/eV per cell
* polymorph energy (0 for the lowest one): 0.0030 eV/atom

a = 2.620 Å, b = 3.653 Å, c = 5.256 Å
α = 90.00°, β = 89.99°, γ = 90.00°
Positions (direct):
Mo: 0.500 0.500 0.000
Co: 0.000 0.000 0.751
Co: 0.000 0.000 0.249
W: 0.500 0.500 0.500



VASP calculation (PBEsol) on a geometry-optimized Co2MoW structure.

Results
* space-group type: No. 99
* calculated formation energy: 0.439 eV/f.u.
* DOS at the Fermi energy: 3.89 states/eV per cell
* polymorph energy (0 for the lowest one): 0.1054 eV/atom

a = 3.066 Å, b = 3.066 Å, c = 5.447 Å
α = 90.00°, β = 90.00°, γ = 90.00°
Positions (direct):
Mo: 0.000 0.000 0.469
Co: 0.000 0.000 0.002
Co: 0.500 0.500 0.250
W: 0.500 0.500 0.780



VASP calculation (PBEsol) on a geometry-optimized Co2MoW structure.

Results
* space-group type: No. 216
* calculated formation energy: 1.022 eV/f.u.
* DOS at the Fermi energy: 6.41 states/eV per cell
* polymorph energy (0 for the lowest one): 0.2510 eV/atom

a = 4.174 Å, b = 4.174 Å, c = 4.174 Å
α = 60.00°, β = 60.00°, γ = 60.00°
Positions (direct):
Mo: 0.500 0.500 0.500
Co: 0.000 0.000 0.000
Co: 0.750 0.750 0.750
W: 0.250 0.250 0.250



VASP calculation (PBEsol) on a geometry-optimized Co6MoW structure.

Results
* space-group type: No. 65
* calculated formation energy: -0.567 eV/f.u.
* DOS at the Fermi energy: 29.58 states/eV per cell

a = 6.135 Å, b = 6.135 Å, c = 10.024 Å
α = 90.00°, β = 90.00°, γ = 109.52°
Positions (direct):
Co: 0.250 0.750 0.750
Co: 0.875 0.626 0.875
Co: 0.125 0.374 0.875
Co: 0.750 0.250 0.750
Co: 0.374 0.125 0.875
Co: 0.626 0.875 0.875
Co: 0.500 0.500 0.500
Co: 0.124 0.375 0.625
Co: 0.375 0.124 0.625
Co: 0.250 0.750 0.250
Co: 0.876 0.625 0.375
Co: 0.124 0.375 0.375
Co: 0.750 0.250 0.250
Co: 0.375 0.124 0.375
Co: 0.625 0.876 0.375
Co: 0.500 0.500 0.000
Co: 0.125 0.374 0.125
Co: 0.374 0.125 0.125
Co: 0.000 0.000 0.500
Co: 0.625 0.876 0.625
Co: 0.876 0.625 0.625
Co: 0.000 0.000 0.000
Co: 0.626 0.875 0.125
Co: 0.875 0.626 0.125
Mo: 0.250 0.750 0.500
Mo: 0.750 0.250 0.500
Mo: 0.000 0.000 0.749
Mo: 0.000 0.000 0.251
W: 0.250 0.750 0.000
W: 0.750 0.250 0.000
W: 0.500 0.500 0.750
W: 0.500 0.500 0.250



VASP calculation (PBEsol) on a geometry-optimized Co3MoW structure.

Results
* space-group type: No. 221
* calculated formation energy: 8.925 eV/f.u.
* DOS at the Fermi energy: 9.12 states/eV per cell

a = 4.213 Å, b = 4.213 Å, c = 4.213 Å
α = 90.00°, β = 90.00°, γ = 90.00°
Positions (direct):
Mo: 0.000 0.000 0.000
Co: 0.000 0.500 0.000
Co: 0.000 0.000 0.500
Co: 0.500 0.000 0.000
W: 0.500 0.500 0.500



VASP calculation (PBEsol) on a geometry-optimized CoMoW2 structure.

Results
* space-group type: No. 139
* calculated formation energy: 1.091 eV/f.u.
* DOS at the Fermi energy: 4.54 states/eV per cell
* polymorph energy (0 for the lowest one): 0.0000 eV/atom

a = 3.830 Å, b = 3.830 Å, c = 4.747 Å
α = 113.79°, β = 113.79°, γ = 90.00°
Positions (direct):
Co: 0.500 0.500 0.000
Mo: 0.000 0.000 0.000
W: 0.750 0.250 0.500
W: 0.250 0.750 0.500



VASP calculation (PBEsol) on a geometry-optimized Co2MoW structure.

Results
* space-group type: No. 25
* calculated formation energy: 0.026 eV/f.u.
* DOS at the Fermi energy: 3.70 states/eV per cell
* polymorph energy (0 for the lowest one): 0.0022 eV/atom

a = 2.624 Å, b = 4.230 Å, c = 4.527 Å
α = 90.00°, β = 90.02°, γ = 90.00°
Positions (direct):
Mo: 0.375 0.000 0.438
Co: 0.875 0.000 0.954
Co: 0.875 0.500 0.298
W: 0.375 0.500 0.810